1.
Compound: ThGaPt3
Source: the Alexandria database
Functional: PBE
Structure: optimized geometry

Summary:
SG	Pbam
calculated total energy	-6.434	eV per atom
E above lowest polymorph	195	meV/atom
D(E_F)	2.219	states/eV/f.u.

abc: 5.154 5.637 7.198
angles: 90.00 90.00 90.00
Fractional positions:
Th 0.500 0.500 0.500
Ga 0.000 0.000 0.500
Pt 0.000 0.384 0.673
Pt 0.500 0.000 0.500
Pt 0.000 0.616 0.327
Pt 0.000 0.116 0.173
Th 0.500 0.000 0.000
Ga 0.000 0.500 0.000
Pt 0.500 0.500 0.000
Pt 0.000 0.884 0.827

***

2.
Compound: Th3Ga7Pt2
Source: the Alexandria database
Functional: PBE
Structure: optimized geometry

Summary:
SG	P2/m
calculated total energy	-5.363	eV per atom
D(E_F)	8.549	states/eV/f.u.

abc: 4.325 4.334 13.612
angles: 99.15 90.00 90.00
Fractional positions:
Ga 0.500 0.084 0.166
Ga 0.500 0.725 0.451
Th 0.000 0.182 0.365
Ga 0.500 0.916 0.834
Th 0.000 0.818 0.635
Pt 0.500 0.366 0.734
Ga 0.000 0.000 0.000
Pt 0.500 0.634 0.266
Th 0.500 0.500 0.000
Ga 0.000 0.582 0.166
Ga 0.000 0.418 0.834
Ga 0.500 0.275 0.549